(w)
Computed, not measured: a geometry-optimized Y2P2F structure at the PBE-GGA level of DFT.

POSCAR file:
```
Y2P2F
1.0
-2.212 -6.428 -1.396
4.911 -0.634 -4.862
2.494 -1.447 2.708
P Y F
4 4 2
Cartesian
1.183 -6.664 -1.761 P
4.241 -5.231 -3.811 P
0.952 -3.278 0.261 P
4.010 -1.845 -1.790 P
3.305 -2.539 -4.400 Y
1.135 -1.391 -1.788 Y
-0.606 -4.524 -1.858 Y
1.564 -5.671 -4.470 Y
0.000 0.000 0.000 F
1.350 -3.531 -3.129 F
```

## Properties
Volume = 19.05 Å³ per atom

=====

(x)
Computed, not measured: a geometry-optimized Y2P2F structure at the PBE-GGA level of DFT.

POSCAR file:
```
Y2P2F
1.0
-3.238 -3.988 -0.198
1.432 -1.398 4.735
-3.974 -0.280 3.910
Y P F
2 2 1
Cartesian
-1.722 -2.186 5.457 Y
-4.058 -3.480 2.991 Y
-1.704 -2.063 2.697 P
-4.076 -3.603 5.751 P
0.000 0.000 0.000 F
```

## Properties
Volume = 22.39 Å³ per atom

=====

Which of them is least stable? Easy: (x).

=====

(w)
Computed, not measured: a geometry-optimized Zn3PF structure at the PBE-GGA level of DFT.

POSCAR file:
```
Zn3PF
1.0
-0.016 2.806 -3.337
-2.949 -2.465 -2.059
-3.212 2.249 1.907
Zn P F
3 1 1
Cartesian
-1.474 -1.233 -1.029 Zn
-1.606 1.125 0.953 Zn
-0.008 1.403 -1.669 Zn
-3.088 1.295 -1.745 P
0.000 0.000 0.000 F
```

## Properties
Volume = 16.58 Å³ per atom

=====

(x)
Computed, not measured: a geometry-optimized Zn3PF structure at the PBE-GGA level of DFT.

POSCAR file:
```
Zn3PF
1.0
-2.832 -3.373 -1.836
1.731 -3.158 3.131
-3.428 1.192 3.098
Zn F P
3 1 1
Cartesian
-1.416 -1.686 -0.918 Zn
-1.714 0.596 1.549 Zn
0.865 -1.579 1.565 Zn
-2.265 -2.669 2.196 F
0.000 0.000 0.000 P
```

## Properties
Volume = 21.73 Å³ per atom

=====

Which of them is least stable? Easy: (w).

=====

(w)
Computed, not measured: a geometry-optimized ZrPF2 structure at the PBE-GGA level of DFT.

POSCAR file:
```
ZrPF2
1.0
0.000 2.976 2.976
2.976 0.000 2.976
2.976 2.976 0.000
F P Zr
2 1 1
Cartesian
4.463 4.463 4.463 F
1.488 1.488 1.488 F
0.000 0.000 0.000 P
2.976 2.976 2.976 Zr
```

## Properties
Volume = 13.17 Å³ per atom

=====

(x)
Computed, not measured: a geometry-optimized ZrPF2 structure at the PBE-GGA level of DFT.

POSCAR file:
```
ZrPF2
1.0
5.956 8.371 -2.243
7.255 6.487 -3.983
4.923 7.905 -4.885
P F Zr
1 2 1
Cartesian
0.000 0.000 0.000 P
2.134 2.679 -1.308 F
16.000 20.084 -9.802 F
9.067 11.381 -5.555 Zr
```

## Properties
Volume = 18.58 Å³ per atom

=====

(y)
Computed, not measured: a geometry-optimized ZrPF2 structure at the PBE-GGA level of DFT.

POSCAR file:
```
ZrPF2
1.0
-0.719 -2.975 2.434
-1.915 -1.870 -2.851
5.245 -5.800 -2.399
Zr F P
2 4 2
Cartesian
0.000 0.000 0.000 Zr
1.605 -5.599 -0.086 Zr
1.456 -8.759 -2.422 F
3.119 -5.998 -1.697 F
0.090 -2.722 -2.298 F
0.557 -3.813 0.786 F
1.007 -5.047 -2.729 P
-1.317 -2.423 -0.208 P
```

## Properties
Volume = 14.72 Å³ per atom

=====

(z)
Computed, not measured: a geometry-optimized ZrPF2 structure at the PBE-GGA level of DFT.

POSCAR file:
```
ZrPF2
1.0
-3.191 3.622 -2.255
-2.480 4.528 1.317
0.106 5.158 -1.329
F Zr P
2 1 1
Cartesian
-3.898 9.320 -1.587 F
-1.668 3.988 -0.679 F
0.000 0.000 0.000 Zr
-2.783 6.654 -1.133 P
```

## Properties
Volume = 14.84 Å³ per atom

=====

Which of them is least stable? Easy: (w).

=====

(w)
Computed, not measured: a geometry-optimized ZrP2F structure at the PBE-GGA level of DFT.

POSCAR file:
```
ZrP2F
1.0
-0.922 -3.590 -2.515
-4.248 -1.294 -0.584
-1.967 0.508 -3.992
F P Zr
1 2 1
Cartesian
0.000 0.000 0.000 F
-1.784 -1.094 -1.773 P
-5.353 -3.282 -5.318 P
-3.569 -2.188 -3.545 Zr
```

## Properties
Volume = 15.88 Å³ per atom

=====

(x)
Computed, not measured: a geometry-optimized ZrP2F structure at the PBE-GGA level of DFT.

POSCAR file:
```
ZrP2F
1.0
-1.451 0.274 -3.102
-2.959 -1.188 1.280
-5.027 8.883 1.233
Zr P F
2 4 2
Cartesian
0.000 0.000 0.000 Zr
-4.342 4.350 -1.390 Zr
-3.330 1.520 0.630 P
-2.492 2.235 -1.381 P
-5.510 6.285 0.278 P
-7.544 5.896 -0.707 P
-5.096 3.619 0.801 F
-2.205 -0.457 -0.911 F
```

## Properties
Volume = 14.74 Å³ per atom

=====

Which of them is least stable? Easy: (w).